No. 1
VASP calculation (PBE-GGA) on crystalline BiH2Rh at its relaxed geometry.

Values from the calculation:
- D(E_F): 0.06 states/eV/atom
- Energy: -70.25 eV/cell
- V: 52 Å³/f.u.
- Magnetic moment: 0.00 μB/f.u.

a = 4.5656 Å, b = 4.5656 Å, c = 10.0506 Å
α = 90.00°, β = 90.00°, γ = 90.00°
With the nearest neighbours (Å) after each atom.
Space group I-42d (No. 122)
Symmetry-distinct sites (fractional):
Bi1 0.0000 0.0000 0.0000 [4 per cell]  8 H 2.76-2.93
H1 0.0236 0.2500 0.6250 [8 per cell]  2 Rh 1.70
Rh1 0.0000 0.0000 0.5000 [4 per cell]  4 H 1.70

=====

No. 2
VASP calculation (PBE-GGA) on crystalline Th2GaRh4 at its relaxed geometry.

Values from the calculation:
- D(E_F): 0.49 states/eV/atom
- Formation energy from the elements: -0.633 eV/atom
- V: 152 Å³/f.u.
- Magnetic moment: 0.00 μB/f.u.

a = 7.9805 Å, b = 5.6204 Å, c = 7.0206 Å
α = 90.00°, β = 105.53°, γ = 90.00°
With the nearest neighbours (Å) after each atom.
Space group C2/m (No. 12)
Symmetry-distinct sites (fractional):
Th1 0.0724 0.0000 0.2696 [4 per cell]  2 Rh 2.68-2.85
Ga1 0.0000 0.5000 0.0000 [2 per cell]  6 Rh 2.44-2.69
Rh1 0.2418 0.5000 0.3513 [4 per cell]  2 Th 2.68-2.85, 1 Ga 2.69, 2 Rh 2.85
Rh2 0.2500 0.2500 0.0000 [4 per cell]  2 Ga 2.44

=====

No. 3
VASP calculation (PBE-GGA) on crystalline Ce2GaFe at its relaxed geometry.

Values from the calculation:
- D(E_F): 1.99 states/eV/atom
- Formation energy from the elements: -0.142 eV/atom
- V: 82 Å³/f.u.
- Magnetic moment: 0.41 μB/f.u.

a = 4.4261 Å, b = 4.4261 Å, c = 4.1916 Å
α = 90.00°, β = 90.00°, γ = 90.00°
With the nearest neighbours (Å) after each atom.
Space group P4/mmm (No. 123)
Symmetry-distinct sites (fractional):
Ce1 0.0000 0.5000 0.0000 [2 per cell]  4 Fe 3.05, 4 Ga 3.05, 4 Ce 3.13
Ga1 0.0000 0.0000 0.5000 [1 per cell]  8 Ce 3.05, 4 Fe 3.13
Fe1 0.5000 0.5000 0.5000 [1 per cell]  8 Ce 3.05, 4 Ga 3.13

=====

> Which value of D(E_F) does entry 2 give?

0.49 states/eV/atom

=====

> Among the records above, which one has the highest D(E_F)?

Ce2GaFe

=====

> The lowest D(E_F) belongs to which entry?

BiH2Rh